[1]
Entry from the Alexandria database: crystalline AlGaRuS2 at its relaxed geometry (PBE-GGA).

Geometry as POSCAR:
```
AlGaRuS2
1.0
4.629 0.000 0.000
0.000 4.852 0.000
0.000 0.000 4.629
S Ru Ga Al
2 1 1 1
Direct
0.000 0.000 0.500
0.500 0.000 0.000
0.000 0.500 0.000
0.000 0.000 0.000
0.500 0.500 0.500
```

Computed properties:
Formation energy without anion corrections ... 85 kJ/mol of atoms
Space group ... P4/mmm, No. 123


[2]
Entry from the Alexandria database: crystalline HfAlVTc at its relaxed geometry (PBE-GGA).

Geometry as POSCAR:
```
HfAlVTc
1.0
-1.631 -4.156 -0.500
1.179 -3.238 2.882
-3.004 -1.602 2.931
V Al Hf Tc
1 1 1 1
Direct
0.750 0.750 0.750
0.000 0.000 0.000
0.500 0.500 0.500
0.250 0.250 0.250
```

Computed properties:
Space group ... F-43m, No. 216
Formation energy from the elements ... -0.21 eV/atom


[3]
Entry from the Alexandria database: crystalline NaLiBr3 at its relaxed geometry (PBE-GGA).

Geometry as POSCAR:
```
NaLiBr3
1.0
5.194 0.000 0.000
0.000 5.194 0.000
0.000 0.000 5.194
Na Br Li
1 3 1
Direct
0.500 0.500 0.500
0.000 0.000 0.500
0.500 0.000 0.000
0.000 0.500 0.000
0.000 0.000 0.000
```

Computed properties:
Formation energy without anion corrections ... -93 kJ/mol of atoms
Space group ... Pm-3m, No. 221
Polymorph energy (0 for the lowest one) ... 0 meV/atom


[4]
Entry from the Alexandria database: crystalline TlFe2Os at its relaxed geometry (PBE-GGA).

Geometry as POSCAR:
```
TlFe2Os
1.0
2.800 0.007 0.000
-1.055 2.594 0.000
0.000 0.000 8.760
Tl Fe Os
1 2 1
Direct
0.500 0.500 0.750
0.000 0.000 0.477
0.000 0.000 0.023
0.500 0.500 0.250
```

Computed properties:
Space group ... Cmmm, No. 65
Polymorph energy (0 for the lowest one) ... 169 meV/atom
Formation energy from the elements ... 0.69 eV/atom


[5]
Entry from the Alexandria database: crystalline Be4Br at its relaxed geometry (PBE-GGA).

Geometry as POSCAR:
```
Be4Br
1.0
-1.367 -5.006 4.851
-3.018 -1.254 6.307
0.308 2.685 -6.569
Be Br
4 1
Direct
0.750 0.250 0.500
0.250 0.750 0.500
0.627 0.627 0.000
0.373 0.373 0.000
0.000 0.000 0.000
```

Computed properties:
Formation energy without anion corrections ... 63 kJ/mol of atoms
Space group ... I4/mmm, No. 139
Polymorph energy (0 for the lowest one) ... 0 meV/atom


[6]
Entry from the Alexandria database: crystalline GdNbIr2 at its relaxed geometry (PBE-GGA).

Geometry as POSCAR:
```
GdNbIr2
1.0
3.116 0.000 0.000
0.000 3.116 0.000
0.000 0.000 7.603
Ir Nb Gd
2 1 1
Direct
0.000 0.000 0.787
0.000 0.000 0.213
0.500 0.500 0.000
0.500 0.500 0.500
```

Computed properties:
Space group ... P4/mmm, No. 123
Polymorph energy (0 for the lowest one) ... 0 meV/atom
Formation energy from the elements ... -0.53 eV/atom